No. 1
# GGA-PBE BeAs2Cl, optimized geometry
data_BeAs2Cl
_cell_length_a 4.600
_cell_length_b 4.600
_cell_length_c 4.600
_cell_angle_alpha 60.00
_cell_angle_beta 60.00
_cell_angle_gamma 60.00
_symmetry_space_group_name_H-M 'P 1'
_symmetry_Int_Tables_number 1
_symmetry_space_group_name_Hall 'P 1'
loop_
_atom_site_label
_atom_site_type_symbol
_atom_site_fract_x
_atom_site_fract_y
_atom_site_fract_z
_atom_site_occupancy
As1 As 0.750 0.750 0.750 1
As2 As 0.250 0.250 0.250 1
Cl1 Cl 0.500 0.500 0.500 1
Be1 Be 0.000 0.000 0.000 1
# **SG**: Fm-3m, No. 225
# **Formation energy without anion corrections**: 665 meV per atom

=====

No. 2
# GGA-PBE BeCrAsCl2, optimized geometry
data_BeCrAsCl2
_cell_length_a 4.307
_cell_length_b 4.307
_cell_length_c 5.238
_cell_angle_alpha 90.00
_cell_angle_beta 90.00
_cell_angle_gamma 90.00
_symmetry_space_group_name_H-M 'P 1'
_symmetry_Int_Tables_number 1
_symmetry_space_group_name_Hall 'P 1'
loop_
_atom_site_label
_atom_site_type_symbol
_atom_site_fract_x
_atom_site_fract_y
_atom_site_fract_z
_atom_site_occupancy
As1 As 0.500 0.500 0.500 1
Be1 Be 0.000 0.000 0.500 1
Cl1 Cl 0.000 0.500 0.000 1
Cl2 Cl 0.500 0.000 0.000 1
Cr1 Cr 0.000 0.000 0.000 1
# **SG**: P4/mmm, No. 123
# **Formation energy without anion corrections**: 688 meV per atom

=====

No. 3
# GGA-PBE Cs2BeAsCl6, optimized geometry
data_Cs2BeAsCl6
_cell_length_a 7.187
_cell_length_b 7.187
_cell_length_c 7.495
_cell_angle_alpha 61.35
_cell_angle_beta 61.35
_cell_angle_gamma 90.00
_symmetry_space_group_name_H-M 'P 1'
_symmetry_Int_Tables_number 1
_symmetry_space_group_name_Hall 'P 1'
loop_
_atom_site_label
_atom_site_type_symbol
_atom_site_fract_x
_atom_site_fract_y
_atom_site_fract_z
_atom_site_occupancy
Be1 Be 0.500 0.500 0.000 1
Cl1 Cl 0.286 0.286 0.000 1
Cl2 Cl 0.714 0.714 0.000 1
Cl3 Cl 0.223 0.223 0.555 1
Cl4 Cl 0.714 0.286 0.000 1
Cl5 Cl 0.286 0.714 0.000 1
Cl6 Cl 0.777 0.777 0.445 1
Cs1 Cs 0.750 0.250 0.500 1
Cs2 Cs 0.250 0.750 0.500 1
As1 As 0.000 0.000 0.000 1
# **SG**: I4/mmm, No. 139
# **Formation energy without anion corrections**: -1168 meV per atom

=====

No. 4
# GGA-PBE BeGaAsCl2, optimized geometry
data_BeGaAsCl2
_cell_length_a 4.655
_cell_length_b 5.387
_cell_length_c 4.655
_cell_angle_alpha 90.00
_cell_angle_beta 90.00
_cell_angle_gamma 90.00
_symmetry_space_group_name_H-M 'P 1'
_symmetry_Int_Tables_number 1
_symmetry_space_group_name_Hall 'P 1'
loop_
_atom_site_label
_atom_site_type_symbol
_atom_site_fract_x
_atom_site_fract_y
_atom_site_fract_z
_atom_site_occupancy
As1 As 0.000 0.500 0.000 1
Cl1 Cl 0.500 0.000 0.000 1
Cl2 Cl 0.000 0.000 0.500 1
Ga1 Ga 0.000 0.000 0.000 1
Be1 Be 0.500 0.500 0.500 1
# **SG**: P4/mmm, No. 123
# **Formation energy without anion corrections**: 375 meV per atom

=====

No. 5
# GGA-PBE BeAsHCl2, optimized geometry
data_BeAsHCl2
_cell_length_a 5.162
_cell_length_b 3.607
_cell_length_c 5.162
_cell_angle_alpha 90.00
_cell_angle_beta 90.00
_cell_angle_gamma 90.00
_symmetry_space_group_name_H-M 'P 1'
_symmetry_Int_Tables_number 1
_symmetry_space_group_name_Hall 'P 1'
loop_
_atom_site_label
_atom_site_type_symbol
_atom_site_fract_x
_atom_site_fract_y
_atom_site_fract_z
_atom_site_occupancy
Cl1 Cl 0.500 0.000 0.000 1
Cl2 Cl 0.000 0.000 0.500 1
Be1 Be 0.500 0.500 0.500 1
As1 As 0.000 0.000 0.000 1
H1 H 0.000 0.500 0.000 1
# **SG**: P4/mmm, No. 123
# **VASP energy**: -2.57 eV/atom

=====

No. 6
# GGA-PBE BeAs2HCl, optimized geometry
data_BeAs2HCl
_cell_length_a 3.726
_cell_length_b 6.646
_cell_length_c 3.726
_cell_angle_alpha 90.00
_cell_angle_beta 90.00
_cell_angle_gamma 90.00
_symmetry_space_group_name_H-M 'P 1'
_symmetry_Int_Tables_number 1
_symmetry_space_group_name_Hall 'P 1'
loop_
_atom_site_label
_atom_site_type_symbol
_atom_site_fract_x
_atom_site_fract_y
_atom_site_fract_z
_atom_site_occupancy
As1 As 0.500 0.000 0.000 1
As2 As 0.000 0.000 0.500 1
Cl1 Cl 0.500 0.500 0.500 1
H1 H 0.000 0.000 0.000 1
Be1 Be 0.000 0.500 0.000 1
# **SG**: P4/mmm, No. 123
# **VASP energy**: -2.92 eV/atom